Entry 1:
VASP calculation (GGA-PBE) on Pm3Ge2Pt after structural relaxation.

Cell: 6.053 8.064 7.507 Å, 105.58 113.77 90.00°
Positions (direct):
Pm 0.168 0.083 0.329
Pt 0.080 0.250 0.000
Pm 0.160 0.583 0.329
Ge 0.334 0.920 0.674
Ge 0.666 0.080 0.326
Ge 0.341 0.420 0.674
Pt 0.920 0.750 0.000
Pm 0.403 0.750 0.000
Pm 0.832 0.917 0.671
Pm 0.840 0.417 0.671
Ge 0.659 0.580 0.326
Pm 0.597 0.250 0.000

Summary:
calculated formation energy = -0.758 eV per atom
energy above the most stable polymorph in this dataset = 0.178 eV/atom
electronic total energy = -68.1 eV per cell
space-group type = C2/c, No. 15



Entry 2:
VASP calculation (GGA-PBE) on ThGe2Se6 after structural relaxation.

Cell: 6.991 9.048 9.048 Å, 83.38 77.80 77.80°
Positions (direct):
Se 0.662 0.960 0.811
Se 0.093 0.124 0.606
Se 0.907 0.876 0.394
Se 0.593 0.606 0.124
Se 0.407 0.394 0.876
Se 0.162 0.811 0.960
Se 0.044 0.451 0.288
Se 0.544 0.288 0.451
Se 0.456 0.712 0.549
Ge 0.239 0.624 0.771
Ge 0.739 0.771 0.624
Se 0.956 0.549 0.712
Th 0.750 0.870 0.130
Ge 0.761 0.376 0.229
Se 0.838 0.189 0.040
Se 0.338 0.040 0.189
Th 0.250 0.130 0.870
Ge 0.261 0.229 0.376

Summary:
electronic total energy = -86.4 eV per cell
space-group type = C2/c, No. 15



Entry 3:
VASP calculation (GGA-PBE) on AuCOF2 after structural relaxation.

Cell: 4.530 4.530 2.774 Å, 90.00 90.00 90.00°
Positions (direct):
C 0.000 0.000 0.000
O 0.000 0.000 0.500
F 0.000 0.500 0.000
Au 0.500 0.500 0.500
F 0.500 0.000 0.000

Summary:
energy above the most stable polymorph in this dataset = 0.000 eV/atom
electronic total energy = -19.3 eV per cell
space-group type = P4/mmm, No. 123



Entry 4:
VASP calculation (GGA-PBE) on RbAcSeCl2 after structural relaxation.

Cell: 5.811 5.811 5.994 Å, 90.00 90.00 90.00°
Positions (direct):
Rb 0.500 0.500 0.514
Cl 0.000 0.500 0.993
Cl 0.500 0.000 0.993
Se 0.000 0.000 0.499
Ac 0.000 0.000 0.000

Summary:
electronic total energy = -22.1 eV per cell
space-group type = P4mm, No. 99